VASP calculation (GGA-PBE) on LaCo after structural relaxation.

Output
theoretical density	6.50	g/cm³
ΔE_f	-0.123	eV/atom
V	50.5	Å³/f.u.
total moment	0.0	μB per formula unit

Cell lengths 6.932, 4.008, 7.646 Å; angles 90.00, 107.84, 90.00 degrees
Space group C2/m (No. 12)
Unique sites:
La: 0.086 0.000 0.255
Co: 0.168 0.500 0.002

VASP calculation (GGA-PBE) on ErScNi2Sn2 after structural relaxation.

Output
theoretical density	8.10	g/cm³
V	116.3	Å³/f.u.
final energy	-5.643	eV per atom
total moment	0.0	μB per formula unit

Cell lengths 4.4363, 4.4363, 6.8236 Å; angles 90.00, 90.00, 120.00 degrees
Space group P3m1 (No. 156)
Unique sites:
Er: 0.0000 0.0000 0.0000
Sc: 0.0000 0.0000 0.5032
Ni: 0.3333 0.6667 0.7588
Ni: 0.6667 0.3333 0.3225
Sn: 0.3333 0.6667 0.2644
Sn: 0.6667 0.3333 0.7233

VASP calculation (GGA-PBE) on RbLaTaC4N8 after structural relaxation.

Output
theoretical density	3.82	g/cm³
V	246.0	Å³/f.u.
final energy	-8.468	eV per atom
total moment	1.0	μB per formula unit

Cell lengths 8.628, 8.628, 6.609 Å; angles 90.00, 90.00, 90.00 degrees
Space group I-4 (No. 82)
Unique sites:
Rb: 0.000 0.000 0.000
La: 0.000 0.500 0.750
Ta: 0.000 0.500 0.250
C: 0.214 0.260 0.400
N: 0.104 0.662 0.086
N: 0.131 0.734 0.606

VASP calculation (GGA-PBE) on Cu4Ag after structural relaxation.

Output
theoretical density	9.18	g/cm³
E above lowest polymorph	0.17	eV per formula unit
ΔE_f	0.079	eV/atom
V	65.5	Å³/f.u.

Cell lengths 4.560, 2.684, 10.786 Å; angles 90.00, 97.27, 90.00 degrees
Space group P2_1/m (No. 11)
Unique sites:
Cu: 0.048 0.250 0.407
Cu: 0.261 0.250 0.994
Cu: 0.348 0.750 0.796
Cu: 0.443 0.250 0.596
Ag: 0.152 0.750 0.201